No. 1
The following is a DFT calculation (PBE) of crystalline CdCuSnCl2 at its relaxed geometry.

## Properties
Crystal system: tetragonal
Final energy in eV/cell: -13.2
Space group: No. 123

Structure (POSCAR):
```
CdCuSnCl2
1.0
5.4547 0.0000 0.0000
0.0000 5.1035 0.0000
0.0000 0.0000 5.4547
Cl Sn Cu Cd
2 1 1 1
direct
0.0000 0.0000 0.5000 Cl
0.5000 0.0000 0.0000 Cl
0.0000 0.0000 0.0000 Sn
0.0000 0.5000 0.0000 Cu
0.5000 0.5000 0.5000 Cd
```


No. 2
The following is a DFT calculation (PBE) of crystalline Tl3Cd2CuCl9 at its relaxed geometry.

## Properties
Crystal system: trigonal
Final energy in eV/cell: -43.0
Space group: No. 164

Structure (POSCAR):
```
Tl3Cd2CuCl9
1.0
7.2411 0.0000 0.0000
-3.6205 6.2710 0.0000
0.0000 0.0000 8.9241
Tl Cd Cu Cl
3 2 1 9
direct
0.3333 0.6667 0.6599 Tl
0.0000 0.0000 0.0000 Tl
0.6667 0.3333 0.3401 Tl
0.3333 0.6667 0.1768 Cd
0.6667 0.3333 0.8232 Cd
0.0000 0.0000 0.5000 Cu
0.8396 0.1604 0.6564 Cl
0.8396 0.6792 0.6564 Cl
0.3208 0.1604 0.6564 Cl
0.6792 0.8396 0.3436 Cl
0.1604 0.3208 0.3436 Cl
0.1604 0.8396 0.3436 Cl
0.5000 0.0000 0.0000 Cl
0.0000 0.5000 0.0000 Cl
0.5000 0.5000 0.0000 Cl
```


Number 1: N(E_F) 0.711 states/eV/atom, spin magnetization 0.00 μB/cell. Number 2: N(E_F) 0.203 states/eV/atom, spin magnetization 1.02 μB/cell.